Entry 1:
Density functional theory data (GGA+U) for a relaxed structure of V2CrNiO.

Cell: 4.972 3.566 4.972 Å, 90.00 90.00 90.00°
Sites, in units of the cell vectors:
O: 0.000 0.500 0.000
V: 0.000 0.000 0.500
Ni: 0.500 0.500 0.500
Cr: 0.000 0.000 0.000
V: 0.500 0.000 0.000



Entry 2:
Density functional theory data (GGA+U) for a relaxed structure of Zr2CoSF.

Cell: 4.306 4.884 4.306 Å, 90.00 90.00 90.00°
Sites, in units of the cell vectors:
Co: 0.500 0.500 0.500
S: 0.000 0.500 0.000
Zr: 0.500 0.000 0.000
Zr: 0.000 0.000 0.500
F: 0.000 0.000 0.000



| no. | density of states at the Fermi level (states/eV per atom) | VASP energy (eV/atom) |
| --- | --- | --- |
| 1 | 0.95 | -4.766 |
| 2 | 0.57 | -6.025 |